# 1
VASP calculation (PBE-GGA) on an optimized crystal structure of ThBe2Ge2Mo.

Electronic total energy (eV/atom): -6.074
Crystal system: trigonal
ΔE_f (eV/atom): -0.2506
Spin magnetization (μB per formula unit): 0.87

Unit cell a=3.9004 b=3.9004 c=7.3773 alpha=90.00 beta=90.00 gamma=120.00
Space group P-3m1 (No. 164)
Asymmetric unit:
Th (0.0000, 0.0000, 0.0000) [1 per cell]
Be (0.3333, 0.6667, 0.3109) [2 per cell]
Ge (0.3333, 0.6667, 0.7167) [2 per cell]
Mo (0.0000, 0.0000, 0.5000) [1 per cell]


# 2
VASP calculation (PBE-GGA) on an optimized crystal structure of BeGeMo2W.

Electronic total energy (eV/atom): -6.929
Crystal system: tetragonal
ΔE_f (eV/atom): 1.6626
Spin magnetization (μB per formula unit): 1.16

Unit cell a=4.7917 b=4.7917 c=4.2865 alpha=90.00 beta=90.00 gamma=90.00
Space group P4/mmm (No. 123)
Asymmetric unit:
Be (0.0000, 0.0000, 0.0000) [1 per cell]
Ge (0.5000, 0.5000, 0.0000) [1 per cell]
Mo (0.0000, 0.5000, 0.5000) [2 per cell]
W (0.0000, 0.0000, 0.5000) [1 per cell]


# 3
VASP calculation (PBE-GGA) on an optimized crystal structure of ZrBeGe2Mo.

Electronic total energy (eV/atom): -5.999
Crystal system: tetragonal
ΔE_f (eV/atom): 0.4690
Spin magnetization (μB per formula unit): 0.00

Unit cell a=4.7575 b=4.7575 c=4.2482 alpha=90.00 beta=90.00 gamma=90.00
Space group P4/mmm (No. 123)
Asymmetric unit:
Zr (0.0000, 0.0000, 0.0000) [1 per cell]
Be (0.5000, 0.5000, 0.0000) [1 per cell]
Ge (0.0000, 0.5000, 0.5000) [2 per cell]
Mo (0.5000, 0.5000, 0.5000) [1 per cell]


# 4
VASP calculation (PBE-GGA) on an optimized crystal structure of BeGeN.

Electronic total energy (eV/atom): -5.930
Energy above the lowest structure with this stoichiometry (kJ/mol of atoms): 10.1
Crystal system: monoclinic
Energy relative to the elements, uncorrected (meV per atom): -374
Spin magnetization (μB per formula unit): 0.00

Unit cell a=5.0129 b=2.8942 c=5.3982 alpha=90.00 beta=108.09 gamma=90.00
Space group Cm (No. 8)
Asymmetric unit:
Be (0.0000, 0.0000, 0.0000) [2 per cell]
Ge (0.1936, 0.0000, 0.5841) [2 per cell]
N (0.3192, 0.0000, 0.9577) [2 per cell]


# 5
VASP calculation (PBE-GGA) on an optimized crystal structure of BeGe4N2.

Electronic total energy (eV/atom): -4.723
Crystal system: tetragonal
Energy relative to the elements, uncorrected (meV per atom): 826
Spin magnetization (μB per formula unit): 0.00

Unit cell a=4.4968 b=4.4968 c=10.9570 alpha=90.00 beta=90.00 gamma=90.00
Space group I4/mmm (No. 139)
Asymmetric unit:
Be (0.0000, 0.0000, 0.0000) [2 per cell]
Ge (0.0000, 0.0000, 0.2149) [4 per cell]
Ge (0.0000, 0.5000, 0.0000) [4 per cell]
N (0.0000, 0.0000, 0.3762) [4 per cell]


# 6
VASP calculation (PBE-GGA) on an optimized crystal structure of BeGeN.

Electronic total energy (eV/atom): -6.035
Energy above the lowest structure with this stoichiometry (kJ/mol of atoms): 0.0
Crystal system: tetragonal
Energy relative to the elements, uncorrected (meV per atom): -479
Spin magnetization (μB per formula unit): 0.00

Unit cell a=2.9861 b=2.9861 c=8.6636 alpha=90.00 beta=90.00 gamma=90.00
Space group P4/nmm (No. 129, origin choice 2)
Asymmetric unit:
Be (0.2500, 0.7500, 0.0000) [2 per cell]
Ge (0.2500, 0.2500, 0.3171) [2 per cell]
N (0.2500, 0.2500, 0.0981) [2 per cell]


# 7
VASP calculation (PBE-GGA) on an optimized crystal structure of BeGeN.

Electronic total energy (eV/atom): -6.024
Energy above the lowest structure with this stoichiometry (kJ/mol of atoms): 1.1
Crystal system: orthorhombic
Energy relative to the elements, uncorrected (meV per atom): -467
Spin magnetization (μB per formula unit): 0.00

Unit cell a=2.9029 b=5.5183 c=4.5780 alpha=90.00 beta=90.00 gamma=90.00
Space group Pmn2_1 (No. 31)
Asymmetric unit:
Be (0.0000, 0.0280, 0.0000) [2 per cell]
Ge (0.0000, 0.5598, 0.2995) [2 per cell]
N (0.0000, 0.9030, 0.3338) [2 per cell]


# 8
VASP calculation (PBE-GGA) on an optimized crystal structure of BeGeN.

Electronic total energy (eV/atom): -5.727
Energy above the lowest structure with this stoichiometry (kJ/mol of atoms): 29.7
Crystal system: triclinic
Energy relative to the elements, uncorrected (meV per atom): -171
Spin magnetization (μB per formula unit): 0.00

Unit cell a=2.8550 b=3.0415 c=4.7029 alpha=77.00 beta=72.45 gamma=89.94
Space group P1 (No. 1)
Asymmetric unit:
Be (0.0000, 0.0000, 0.0000) [1 per cell]
Ge (0.2671, 0.3237, 0.4702) [1 per cell]
N (0.4138, 0.9181, 0.1737) [1 per cell]


# 9
VASP calculation (PBE-GGA) on an optimized crystal structure of BeGeN.

Electronic total energy (eV/atom): -5.952
Energy above the lowest structure with this stoichiometry (kJ/mol of atoms): 8.0
Crystal system: triclinic
Energy relative to the elements, uncorrected (meV per atom): -395
Spin magnetization (μB per formula unit): 0.00

Unit cell a=2.9115 b=2.9130 c=9.7291 alpha=90.49 beta=97.78 gamma=119.96
Space group P1 (No. 1)
Asymmetric unit:
Be (0.0000, 0.0000, 0.0000) [1 per cell]
Be (0.4518, 0.7309, 0.1937) [1 per cell]
Ge (0.1957, 0.5906, 0.7786) [1 per cell]
Ge (0.9305, 0.4767, 0.4285) [1 per cell]
N (0.3235, 0.6609, 0.9843) [1 per cell]
N (0.8094, 0.4109, 0.2331) [1 per cell]


# 10
VASP calculation (PBE-GGA) on an optimized crystal structure of Be2NiGeN.

Electronic total energy (eV/atom): -5.306
Crystal system: tetragonal
Energy relative to the elements, uncorrected (meV per atom): -70
Spin magnetization (μB per formula unit): 0.00

Unit cell a=3.3068 b=3.3068 c=5.0675 alpha=90.00 beta=90.00 gamma=90.00
Space group P4/mmm (No. 123)
Asymmetric unit:
Be (0.0000, 0.5000, 0.0000) [2 per cell]
Ni (0.0000, 0.0000, 0.5000) [1 per cell]
Ge (0.5000, 0.5000, 0.5000) [1 per cell]
N (0.5000, 0.5000, 0.0000) [1 per cell]


# 11
VASP calculation (PBE-GGA) on an optimized crystal structure of Pa2BeGeN5.

Electronic total energy (eV/atom): -8.565
Crystal system: orthorhombic
Energy relative to the elements, uncorrected (meV per atom): -902
Spin magnetization (μB per formula unit): 0.00

Unit cell a=3.2160 b=13.1063 c=9.6666 alpha=90.00 beta=90.00 gamma=90.00
Space group Cmc2_1 (No. 36)
Asymmetric unit:
Pa (0.0000, 0.1036, 0.0000) [4 per cell]
Pa (0.0000, 0.1388, 0.6359) [4 per cell]
Be (0.0000, 0.4521, 0.7649) [4 per cell]
Ge (0.0000, 0.1953, 0.3324) [4 per cell]
N (0.0000, 0.0424, 0.3480) [4 per cell]
N (0.0000, 0.2897, 0.9886) [4 per cell]
N (0.0000, 0.3185, 0.6997) [4 per cell]
N (0.0000, 0.3463, 0.3268) [4 per cell]
N (0.0000, 0.4907, 0.1025) [4 per cell]


# 12
VASP calculation (PBE-GGA) on an optimized crystal structure of BeGePdN2.

Electronic total energy (eV/atom): -4.988
Crystal system: tetragonal
Energy relative to the elements, uncorrected (meV per atom): 1049
Spin magnetization (μB per formula unit): 0.00

Unit cell a=3.4419 b=3.4419 c=5.3473 alpha=90.00 beta=90.00 gamma=90.00
Space group P4/mmm (No. 123)
Asymmetric unit:
Be (0.0000, 0.0000, 0.0000) [1 per cell]
Ge (0.0000, 0.0000, 0.5000) [1 per cell]
Pd (0.5000, 0.5000, 0.5000) [1 per cell]
N (0.0000, 0.5000, 0.0000) [2 per cell]